1.
DFT (PBE-GGA) results for a relaxed structure of EuDy2Er.

Unit cell a=3.5883 b=3.5883 c=10.2814 alpha=90.00 beta=90.00 gamma=90.00
Element x y z (fractional)
Eu (0.0000, 0.0000, 0.0000)
Dy (0.5000, 0.5000, 0.2667)
Dy (0.5000, 0.5000, 0.7333)
Er (0.0000, 0.0000, 0.5000)

Calculated values
density of states at the Fermi level = 1.266 states/eV per atom
energy relative to the lowest polymorph listed for this composition = 0.000 eV/atom
total moment = 7.4 μB/f.u.

2.
DFT (PBE-GGA) results for a relaxed structure of Cs2LiOsO6.

Unit cell a=6.4606 b=6.4606 c=5.2010 alpha=90.00 beta=90.00 gamma=120.00
Element x y z (fractional)
Cs (0.3333, 0.6667, 0.2690)
Cs (0.6667, 0.3333, 0.7310)
Li (0.0000, 0.0000, 0.5000)
Os (0.0000, 0.0000, 0.0000)
O (0.1349, 0.2698, 0.7875)
O (0.1349, 0.8651, 0.7875)
O (0.2698, 0.1349, 0.2125)
O (0.7302, 0.8651, 0.7875)
O (0.8651, 0.1349, 0.2125)
O (0.8651, 0.7302, 0.2125)

Calculated values
density of states at the Fermi level = 0.829 states/eV per atom
ΔE_f (raw) = -1.2393 eV per atom
total moment = 1.0 μB/f.u.

3.
DFT (PBE-GGA) results for a relaxed structure of BaSbP2.

Unit cell a=5.1911 b=6.3567 c=6.9290 alpha=90.00 beta=90.00 gamma=90.00
Element x y z (fractional)
Ba (0.0000, 0.0000, 0.0000)
Ba (0.5000, 0.5000, 0.5000)
Sb (0.0000, 0.0000, 0.5000)
Sb (0.5000, 0.5000, 0.0000)
P (0.0000, 0.5000, 0.1571)
P (0.0000, 0.5000, 0.8429)
P (0.5000, 0.0000, 0.3429)
P (0.5000, 0.0000, 0.6571)

Calculated values
density of states at the Fermi level = 0.733 states/eV per atom
ΔE_f (raw) = -0.3579 eV per atom
total moment = 0.0 μB/f.u.

4.
DFT (PBE-GGA) results for a relaxed structure of HfTiNbBi.

Unit cell a=6.8726 b=6.8726 c=6.8726 alpha=90.00 beta=90.00 gamma=90.00
Element x y z (fractional)
Hf (0.0000, 0.0000, 0.0000)
Hf (0.0000, 0.5000, 0.5000)
Hf (0.5000, 0.0000, 0.5000)
Hf (0.5000, 0.5000, 0.0000)
Ti (0.0000, 0.0000, 0.5000)
Ti (0.0000, 0.5000, 0.0000)
Ti (0.5000, 0.0000, 0.0000)
Ti (0.5000, 0.5000, 0.5000)
Nb (0.2500, 0.2500, 0.7500)
Nb (0.2500, 0.7500, 0.2500)
Nb (0.7500, 0.2500, 0.2500)
Nb (0.7500, 0.7500, 0.7500)
Bi (0.2500, 0.2500, 0.2500)
Bi (0.2500, 0.7500, 0.7500)
Bi (0.7500, 0.2500, 0.7500)
Bi (0.7500, 0.7500, 0.2500)

Calculated values
E_tot = -125.6 eV/cell
density of states at the Fermi level = 0.494 states/eV per atom
total moment = 0.0 μB/f.u.

5.
DFT (PBE-GGA) results for a relaxed structure of Pr4SnIr2.

Unit cell a=10.4176 b=10.4176 c=10.4176 alpha=26.86 beta=26.86 gamma=26.86
Element x y z (fractional)
Pr (0.1137, 0.1137, 0.1137)
Pr (0.2975, 0.2975, 0.2975)
Pr (0.7025, 0.7025, 0.7025)
Pr (0.8863, 0.8863, 0.8863)
Sn (0.5000, 0.5000, 0.5000)
Ir (0.4016, 0.4016, 0.4016)
Ir (0.5984, 0.5984, 0.5984)

Calculated values
E_tot = -44.8 eV/cell
density of states at the Fermi level = 0.461 states/eV per atom
total moment = 0.0 μB/f.u.

6.
DFT (PBE-GGA) results for a relaxed structure of MnAsAu2.

Unit cell a=4.1334 b=4.1442 c=8.2034 alpha=90.00 beta=90.00 gamma=90.00
Element x y z (fractional)
Mn (0.0000, 0.0000, 0.0000)
Mn (0.5000, 0.5000, 0.0000)
As (0.0000, 0.5000, 0.2100)
As (0.5000, 0.0000, 0.2100)
Au (0.0000, 0.0000, 0.5114)
Au (0.0000, 0.5000, 0.7736)
Au (0.5000, 0.0000, 0.7736)
Au (0.5000, 0.5000, 0.5114)

Calculated values
E_tot = -40.2 eV/cell
density of states at the Fermi level = 0.494 states/eV per atom
total moment = 3.7 μB/f.u.

7.
DFT (PBE-GGA) results for a relaxed structure of BaCu4Ag3Br12.

Unit cell a=9.0466 b=9.0466 c=9.0466 alpha=105.25 beta=105.25 gamma=105.25
Element x y z (fractional)
Ba (0.0000, 0.0000, 0.0000)
Cu (0.0763, 0.5000, 0.9237)
Cu (0.5000, 0.5000, 0.5000)
Cu (0.5000, 0.9237, 0.0763)
Cu (0.9237, 0.0763, 0.5000)
Ag (0.0000, 0.5695, 0.4305)
Ag (0.4305, 0.0000, 0.5695)
Ag (0.5695, 0.4305, 0.0000)
Br (0.0177, 0.6552, 0.7653)
Br (0.0881, 0.9119, 0.5000)
Br (0.2347, 0.3448, 0.9823)
Br (0.3376, 0.6624, 0.5000)
Br (0.3448, 0.9823, 0.2347)
Br (0.5000, 0.0881, 0.9119)
Br (0.5000, 0.3376, 0.6624)
Br (0.6552, 0.7653, 0.0177)
Br (0.6624, 0.5000, 0.3376)
Br (0.7653, 0.0177, 0.6552)
Br (0.9119, 0.5000, 0.0881)
Br (0.9823, 0.2347, 0.3448)

Calculated values
density of states at the Fermi level = 0.827 states/eV per atom
ΔE_f (raw) = -0.5312 eV per atom
total moment = 0.0 μB/f.u.

8.
DFT (PBE-GGA) results for a relaxed structure of LaBiPt4.

Unit cell a=5.5287 b=5.5287 c=5.5287 alpha=60.00 beta=60.00 gamma=60.00
Element x y z (fractional)
La (0.0000, 0.0000, 0.0000)
Bi (0.7500, 0.7500, 0.7500)
Pt (0.3751, 0.3751, 0.3751)
Pt (0.3751, 0.3751, 0.8748)
Pt (0.3751, 0.8748, 0.3751)
Pt (0.8748, 0.3751, 0.3751)

Calculated values
E_tot = -37.1 eV/cell
density of states at the Fermi level = 0.226 states/eV per atom
total moment = 0.0 μB/f.u.

9.
DFT (PBE-GGA) results for a relaxed structure of TmPuIn.

Unit cell a=3.1589 b=5.3609 c=9.1235 alpha=90.00 beta=90.00 gamma=90.00
Element x y z (fractional)
Tm (0.0000, 0.0000, 0.1739)
Tm (0.0000, 0.0000, 0.8261)
Pu (0.0000, 0.5000, 0.3398)
Pu (0.0000, 0.5000, 0.6602)
In (0.5000, 0.0000, 0.5000)
In (0.5000, 0.5000, 0.0000)

Calculated values
density of states at the Fermi level = 2.524 states/eV per atom
energy relative to the lowest polymorph listed for this composition = 0.198 eV/atom
total moment = 6.1 μB/f.u.

10.
DFT (PBE-GGA) results for a relaxed structure of Sr2Al3Zn4Ga.

Unit cell a=4.3785 b=4.3785 c=11.0202 alpha=90.00 beta=90.00 gamma=90.00
Element x y z (fractional)
Sr (0.0000, 0.5000, 0.2485)
Sr (0.5000, 0.0000, 0.7515)
Al (0.0000, 0.5000, 0.8715)
Al (0.5000, 0.0000, 0.1285)
Al (0.5000, 0.5000, 0.5000)
Zn (0.0000, 0.0000, 0.0000)
Zn (0.0000, 0.5000, 0.6359)
Zn (0.5000, 0.0000, 0.3641)
Zn (0.5000, 0.5000, 0.0000)
Ga (0.0000, 0.0000, 0.5000)

Calculated values
E_tot = -25.3 eV/cell
density of states at the Fermi level = 0.518 states/eV per atom
total moment = 0.0 μB/f.u.

11.
DFT (PBE-GGA) results for a relaxed structure of TlCdSb2Mo.

Unit cell a=5.2296 b=5.2296 c=5.5586 alpha=90.00 beta=90.00 gamma=90.00
Element x y z (fractional)
Tl (0.0000, 0.0000, 0.0000)
Cd (0.5000, 0.5000, 0.0000)
Sb (0.0000, 0.5000, 0.5000)
Sb (0.5000, 0.0000, 0.5000)
Mo (0.0000, 0.0000, 0.5000)

Calculated values
density of states at the Fermi level = 0.709 states/eV per atom
ΔE_f (raw) = 0.3659 eV per atom
total moment = 0.0 μB/f.u.

12.
DFT (PBE-GGA) results for a relaxed structure of Ta5Pt3.

Unit cell a=7.8354 b=8.4179 c=4.1313 alpha=90.00 beta=90.00 gamma=90.00
Element x y z (fractional)
Ta (0.0000, 0.0000, 0.0000)
Ta (0.0000, 0.2692, 0.5000)
Ta (0.0000, 0.7308, 0.5000)
Ta (0.2500, 0.2500, 0.0000)
Ta (0.2500, 0.7500, 0.0000)
Ta (0.5000, 0.2308, 0.5000)
Ta (0.5000, 0.5000, 0.0000)
Ta (0.5000, 0.7692, 0.5000)
Ta (0.7500, 0.2500, 0.0000)
Ta (0.7500, 0.7500, 0.0000)
Pt (0.0000, 0.5000, 0.0000)
Pt (0.2434, 0.0000, 0.5000)
Pt (0.2566, 0.5000, 0.5000)
Pt (0.5000, 0.0000, 0.0000)
Pt (0.7434, 0.5000, 0.5000)
Pt (0.7566, 0.0000, 0.5000)

Calculated values
density of states at the Fermi level = 0.910 states/eV per atom
energy relative to the lowest polymorph listed for this composition = 0.000 eV/atom
total moment = 0.0 μB/f.u.

13.
DFT (PBE-GGA) results for a relaxed structure of ErScSn2.

Unit cell a=4.7311 b=4.7311 c=4.3464 alpha=90.00 beta=90.00 gamma=90.00
Element x y z (fractional)
Er (0.0000, 0.0000, 0.0000)
Sc (0.5000, 0.5000, 0.0000)
Sn (0.0000, 0.5000, 0.5000)
Sn (0.5000, 0.0000, 0.5000)

Calculated values
density of states at the Fermi level = 0.991 states/eV per atom
energy relative to the lowest polymorph listed for this composition = 0.061 eV/atom
total moment = 0.4 μB/f.u.

14.
DFT (PBE-GGA) results for a relaxed structure of K2RbLaBr6.

Unit cell a=8.7037 b=8.7037 c=8.7037 alpha=56.83 beta=56.83 gamma=56.83
Element x y z (fractional)
K (0.0000, 0.0000, 0.0000)
K (0.4898, 0.4898, 0.4898)
Rb (0.2040, 0.2040, 0.2040)
La (0.6937, 0.6937, 0.6937)
Br (0.0518, 0.4413, 0.7972)
Br (0.3294, 0.8813, 0.6101)
Br (0.4413, 0.7972, 0.0518)
Br (0.6101, 0.3294, 0.8813)
Br (0.7972, 0.0518, 0.4413)
Br (0.8813, 0.6101, 0.3294)

Calculated values
density of states at the Fermi level = 0.000 states/eV per atom
ΔE_f (raw) = -1.8642 eV per atom
total moment = 0.0 μB/f.u.

15.
DFT (PBE-GGA) results for a relaxed structure of PmGaNiPt3.

Unit cell a=6.7509 b=6.7509 c=5.6352 alpha=90.00 beta=90.00 gamma=120.72
Element x y z (fractional)
Pm (0.2162, 0.7838, 0.7500)
Pm (0.7838, 0.2162, 0.2500)
Ga (0.1365, 0.8635, 0.2500)
Ga (0.8635, 0.1365, 0.7500)
Ni (0.4380, 0.5620, 0.7500)
Ni (0.5620, 0.4380, 0.2500)
Pt (0.2094, 0.2094, 0.0000)
Pt (0.2094, 0.2094, 0.5000)
Pt (0.3423, 0.6577, 0.2500)
Pt (0.6577, 0.3423, 0.7500)
Pt (0.7906, 0.7906, 0.0000)
Pt (0.7906, 0.7906, 0.5000)

Calculated values
E_tot = -70.0 eV/cell
density of states at the Fermi level = 0.503 states/eV per atom
total moment = 0.0 μB/f.u.

16.
DFT (PBE-GGA) results for a relaxed structure of Ho8GeTe4S3.

Unit cell a=8.4284 b=8.4284 c=8.4284 alpha=58.01 beta=58.01 gamma=58.01
Element x y z (fractional)
Ho (0.2342, 0.7377, 0.7377)
Ho (0.2347, 0.2347, 0.2347)
Ho (0.2623, 0.2623, 0.7658)
Ho (0.2623, 0.7658, 0.2623)
Ho (0.7377, 0.2342, 0.7377)
Ho (0.7377, 0.7377, 0.2342)
Ho (0.7653, 0.7653, 0.7653)
Ho (0.7658, 0.2623, 0.2623)
Ge (0.5000, 0.5000, 0.5000)
Te (0.0000, 0.0000, 0.0000)
Te (0.0000, 0.5000, 0.5000)
Te (0.5000, 0.0000, 0.5000)
Te (0.5000, 0.5000, 0.0000)
S (0.0000, 0.0000, 0.5000)
S (0.0000, 0.5000, 0.0000)
S (0.5000, 0.0000, 0.0000)

Calculated values
density of states at the Fermi level = 0.301 states/eV per atom
ΔE_f (raw) = -1.5337 eV per atom
total moment = 0.0 μB/f.u.

17.
DFT (PBE-GGA) results for a relaxed structure of BaNa3Cr.

Unit cell a=5.9079 b=5.9079 c=5.9079 alpha=90.00 beta=90.00 gamma=90.00
Element x y z (fractional)
Ba (0.0000, 0.0000, 0.0000)
Na (0.0000, 0.5000, 0.5000)
Na (0.5000, 0.0000, 0.5000)
Na (0.5000, 0.5000, 0.0000)
Cr (0.5000, 0.5000, 0.5000)

Calculated values
density of states at the Fermi level = 0.726 states/eV per atom
energy relative to the lowest polymorph listed for this composition = 0.000 eV/atom
total moment = 4.9 μB/f.u.

18.
DFT (PBE-GGA) results for a relaxed structure of HoBe2GaPt4.

Unit cell a=9.0818 b=9.0818 c=9.0818 alpha=25.93 beta=25.93 gamma=25.93
Element x y z (fractional)
Ho (0.0000, 0.0000, 0.0000)
Be (0.2506, 0.2506, 0.2506)
Be (0.7494, 0.7494, 0.7494)
Ga (0.5000, 0.5000, 0.5000)
Pt (0.1278, 0.1278, 0.1278)
Pt (0.4021, 0.4021, 0.4021)
Pt (0.5979, 0.5979, 0.5979)
Pt (0.8722, 0.8722, 0.8722)

Calculated values
E_tot = -45.1 eV/cell
density of states at the Fermi level = 0.422 states/eV per atom
total moment = 0.0 μB/f.u.

19.
DFT (PBE-GGA) results for a relaxed structure of YHgW2.

Unit cell a=2.8685 b=2.8685 c=9.4770 alpha=90.00 beta=90.00 gamma=90.00
Element x y z (fractional)
Y (0.0000, 0.0000, 0.0000)
Hg (0.5000, 0.5000, 0.2743)
W (0.0000, 0.0000, 0.5152)
W (0.5000, 0.5000, 0.7447)

Calculated values
E_tot = -30.3 eV/cell
density of states at the Fermi level = 0.610 states/eV per atom
total moment = 0.0 μB/f.u.

20.
DFT (PBE-GGA) results for a relaxed structure of Y2ThCd8.

Unit cell a=8.9386 b=8.9386 c=5.3612 alpha=107.39 beta=107.39 gamma=124.53
Element x y z (fractional)
Y (0.1885, 0.8115, 0.0000)
Y (0.8115, 0.1885, 0.0000)
Th (0.5000, 0.5000, 0.5000)
Cd (0.0023, 0.0023, 0.7551)
Cd (0.1439, 0.3988, 0.7701)
Cd (0.2955, 0.7045, 0.5000)
Cd (0.3988, 0.1439, 0.7701)
Cd (0.6012, 0.8561, 0.2299)
Cd (0.7045, 0.2955, 0.5000)
Cd (0.8561, 0.6012, 0.2299)
Cd (0.9977, 0.9977, 0.2449)

Calculated values
E_tot = -29.9 eV/cell
density of states at the Fermi level = 0.739 states/eV per atom
total moment = 0.0 μB/f.u.

21.
DFT (PBE-GGA) results for a relaxed structure of PmPaGe.

Unit cell a=5.0166 b=5.0166 c=3.5011 alpha=90.00 beta=90.00 gamma=120.00
Element x y z (fractional)
Pm (0.0000, 0.0000, 0.0000)
Pa (0.6667, 0.3333, 0.5473)
Ge (0.3333, 0.6667, 0.2769)

Calculated values
density of states at the Fermi level = 1.909 states/eV per atom
energy relative to the lowest polymorph listed for this composition = 0.081 eV/atom
total moment = 0.9 μB/f.u.

22.
DFT (PBE-GGA) results for a relaxed structure of SrCa2H.

Unit cell a=8.5592 b=8.5592 c=8.5592 alpha=90.00 beta=90.00 gamma=90.00
Element x y z (fractional)
Sr (0.0000, 0.0000, 0.0000)
Sr (0.0000, 0.5000, 0.5000)
Sr (0.5000, 0.0000, 0.5000)
Sr (0.5000, 0.5000, 0.0000)
Ca (0.2500, 0.2500, 0.2500)
Ca (0.2500, 0.2500, 0.7500)
Ca (0.2500, 0.7500, 0.2500)
Ca (0.2500, 0.7500, 0.7500)
Ca (0.7500, 0.2500, 0.2500)
Ca (0.7500, 0.2500, 0.7500)
Ca (0.7500, 0.7500, 0.2500)
Ca (0.7500, 0.7500, 0.7500)
H (0.0000, 0.0000, 0.5000)
H (0.0000, 0.5000, 0.0000)
H (0.5000, 0.0000, 0.0000)
H (0.5000, 0.5000, 0.5000)

Calculated values
density of states at the Fermi level = 0.602 states/eV per atom
energy relative to the lowest polymorph listed for this composition = 0.814 eV/atom
total moment = 0.0 μB/f.u.

23.
DFT (PBE-GGA) results for a relaxed structure of NdSi.

Unit cell a=4.1671 b=4.1671 c=22.2608 alpha=90.00 beta=90.00 gamma=90.00
Element x y z (fractional)
Nd (0.0000, 0.2500, 0.0712)
Nd (0.0000, 0.2500, 0.6788)
Nd (0.0000, 0.7500, 0.3212)
Nd (0.0000, 0.7500, 0.9288)
Nd (0.5000, 0.2500, 0.4288)
Nd (0.5000, 0.2500, 0.8212)
Nd (0.5000, 0.7500, 0.1788)
Nd (0.5000, 0.7500, 0.5712)
Si (0.0000, 0.2500, 0.2154)
Si (0.0000, 0.2500, 0.5346)
Si (0.0000, 0.7500, 0.4654)
Si (0.0000, 0.7500, 0.7846)
Si (0.5000, 0.2500, 0.2846)
Si (0.5000, 0.2500, 0.9654)
Si (0.5000, 0.7500, 0.0346)
Si (0.5000, 0.7500, 0.7154)

Calculated values
density of states at the Fermi level = 0.911 states/eV per atom
ΔE_f (raw) = -0.7161 eV per atom
total moment = 0.2 μB/f.u.

24.
DFT (PBE-GGA) results for a relaxed structure of Pr2AlF.

Unit cell a=3.7951 b=3.7951 c=22.9723 alpha=90.00 beta=90.00 gamma=120.00
Element x y z (fractional)
Pr (0.0000, 0.0000, 0.2367)
Pr (0.0000, 0.0000, 0.7633)
Pr (0.3333, 0.6667, 0.4299)
Pr (0.3333, 0.6667, 0.9034)
Pr (0.6667, 0.3333, 0.0966)
Pr (0.6667, 0.3333, 0.5701)
Al (0.0000, 0.0000, 0.0000)
Al (0.3333, 0.6667, 0.6667)
Al (0.6667, 0.3333, 0.3333)
F (0.0000, 0.0000, 0.5000)
F (0.3333, 0.6667, 0.1667)
F (0.6667, 0.3333, 0.8333)

Calculated values
density of states at the Fermi level = 0.490 states/eV per atom
ΔE_f (raw) = -1.2703 eV per atom
energy relative to the lowest polymorph listed for this composition = 0.000 eV/atom
total moment = 0.0 μB/f.u.

25.
DFT (PBE-GGA) results for a relaxed structure of YAlI.

Unit cell a=5.5619 b=5.5959 c=11.9611 alpha=90.00 beta=90.50 gamma=90.00
Element x y z (fractional)
Y (0.2460, 0.0000, 0.2970)
Y (0.2540, 0.5000, 0.7030)
Y (0.7460, 0.5000, 0.2970)
Y (0.7540, 0.0000, 0.7030)
Al (0.0000, 0.2500, 0.5000)
Al (0.0000, 0.7500, 0.5000)
Al (0.5000, 0.2500, 0.5000)
Al (0.5000, 0.7500, 0.5000)
I (0.2436, 0.5000, 0.1647)
I (0.2564, 0.0000, 0.8353)
I (0.7436, 0.0000, 0.1647)
I (0.7564, 0.5000, 0.8353)

Calculated values
density of states at the Fermi level = 0.843 states/eV per atom
ΔE_f (raw) = -0.6856 eV per atom
total moment = 0.0 μB/f.u.

26.
DFT (PBE-GGA) results for a relaxed structure of Ba3TiTc.

Unit cell a=5.8619 b=5.8619 c=5.8619 alpha=90.00 beta=90.00 gamma=90.00
Element x y z (fractional)
Ba (0.0000, 0.0000, 0.5000)
Ba (0.0000, 0.5000, 0.0000)
Ba (0.5000, 0.0000, 0.0000)
Ti (0.5000, 0.5000, 0.5000)
Tc (0.0000, 0.0000, 0.0000)

Calculated values
E_tot = -18.6 eV/cell
density of states at the Fermi level = 2.547 states/eV per atom
total moment = 0.0 μB/f.u.